UHgBr6: relaxed, PBE. Values from VASP.

Results
space-group type = C2/m (12)
E_tot = -29.2 eV per formula unit
E_form (uncorrected) = -0.944 eV per atom
magnetic moment = 0.25 μB/atom
E above lowest polymorph = 11 meV/atom
DOS at the Fermi energy = 14.0 states/eV per cell

Quantum ESPRESSO input file:
```
&SYSTEM
  ibrav = 0, nat = 16, ntyp = 3
/
ATOMIC_SPECIES
U 238.03 U.upf
Hg 200.59 Hg.upf
Br 79.90 Br.upf
CELL_PARAMETERS angstrom
9.801 0.000 0.000
0.000 15.084 0.000
-4.718 0.000 5.174
ATOMIC_POSITIONS angstrom
U 0.000 0.000 0.000
U 4.901 7.542 0.000
Hg -2.359 0.000 2.587
Hg 2.542 7.542 2.587
Br -0.308 1.935 1.991
Br -0.308 13.149 1.991
Br -2.596 7.542 4.905
Br 2.779 0.000 0.269
Br 0.491 5.607 3.182
Br 0.491 9.477 3.182
Br 4.592 5.607 1.991
Br 4.592 9.477 1.991
Br 2.304 0.000 4.905
Br 7.680 7.542 0.269
Br 5.392 1.935 3.182
Br 5.392 13.149 3.182
```